Y5GeTe4: optimized geometry, PBE.

Output
ΔE_f (raw): -1310.3 meV per atom
Total energy: -6.261 eV/atom
Density of states at the Fermi level: 11.338 states/eV per cell

Unit cell a=9.723 b=9.723 c=6.099 alpha=90.00 beta=90.00 gamma=90.00
Space group I4/m (No. 87)
Asymmetric unit:
Y1 0.000 0.000 0.000 (multiplicity 2)
Y2 0.097 0.726 0.500 (multiplicity 8)
Ge1 0.000 0.000 0.500 (multiplicity 2)
Te1 0.092 0.694 0.000 (multiplicity 8)

***

Y8ZnGe3Te4: optimized geometry, PBE.

Output
ΔE_f (raw): -1089.4 meV per atom
Total energy: -6.052 eV/atom
Density of states at the Fermi level: 22.893 states/eV per cell

Unit cell a=8.4618 b=8.4618 c=21.4243 alpha=90.00 beta=90.00 gamma=120.00
Space group R-3m (No. 166, hexagonal axes)
Asymmetric unit:
Y1 0.0000 0.0000 0.2392 (multiplicity 6)
Y2 0.0072 0.5036 0.7575 (multiplicity 18)
Zn1 0.0000 0.0000 0.5000 (multiplicity 3)
Ge1 0.0000 0.5000 0.5000 (multiplicity 9)
Te1 0.0000 0.0000 0.0000 (multiplicity 3)
Te2 0.0000 0.5000 0.0000 (multiplicity 9)

***

Zn2GeTe: optimized geometry, PBE.

Output
ΔE_f (raw): 308.9 meV per atom
Total energy: -2.268 eV/atom
Density of states at the Fermi level: 12.399 states/eV per cell
Distance to the lowest polymorph of the same formula: 0.232 eV per atom

Unit cell a=6.911 b=6.911 c=6.911 alpha=90.00 beta=90.00 gamma=90.00
Space group Fm-3m (No. 225)
Asymmetric unit:
Zn1 0.250 0.250 0.250 (multiplicity 8)
Ge1 0.000 0.000 0.000 (multiplicity 4)
Te1 0.000 0.000 0.500 (multiplicity 4)

***

Zn2GeTe: optimized geometry, PBE.

Output
ΔE_f (raw): 76.5 meV per atom
Total energy: -2.500 eV/atom
Density of states at the Fermi level: 7.533 states/eV per cell
Distance to the lowest polymorph of the same formula: 0.000 eV per atom

Unit cell a=6.216 b=6.216 c=10.907 alpha=90.00 beta=90.00 gamma=90.00
Space group I-42d (No. 122)
Asymmetric unit:
Zn1 0.227 0.250 0.125 (multiplicity 8)
Ge1 0.000 0.000 0.000 (multiplicity 4)
Te1 0.000 0.000 0.500 (multiplicity 4)

***

Zr2Ge2Te: optimized geometry, PBE.

Output
ΔE_f (raw): -375.6 meV per atom
Total energy: -6.270 eV/atom
Density of states at the Fermi level: 10.305 states/eV per cell
Distance to the lowest polymorph of the same formula: 0.224 eV per atom

Unit cell a=7.528 b=7.528 c=3.664 alpha=90.00 beta=90.00 gamma=90.00
Space group P4/mbm (No. 127)
Asymmetric unit:
Zr1 0.181 0.319 0.000 (multiplicity 4)
Ge1 0.119 0.619 0.500 (multiplicity 4)
Te1 0.000 0.000 0.500 (multiplicity 2)

***

ZrGeTe3: optimized geometry, PBE.

Output
ΔE_f (raw): -543.6 meV per atom
Total energy: -5.062 eV/atom
Density of states at the Fermi level: 2.503 states/eV per cell
Distance to the lowest polymorph of the same formula: 0.000 eV per atom

Unit cell a=10.622 b=4.048 c=15.640 alpha=90.00 beta=90.00 gamma=90.00
Space group Pnma (No. 62)
Asymmetric unit:
Zr1 0.154 0.250 0.038 (multiplicity 4)
Ge1 0.066 0.250 0.618 (multiplicity 4)
Te1 0.004 0.250 0.882 (multiplicity 4)
Te2 0.180 0.250 0.459 (multiplicity 4)
Te3 0.203 0.750 0.696 (multiplicity 4)

***

ZrGeTe3: optimized geometry, PBE.

Output
ΔE_f (raw): 126.1 meV per atom
Total energy: -4.392 eV/atom
Density of states at the Fermi level: 4.427 states/eV per cell
Distance to the lowest polymorph of the same formula: 0.670 eV per atom

Unit cell a=5.590 b=5.590 c=5.590 alpha=90.00 beta=90.00 gamma=90.00
Space group Pm-3m (No. 221)
Asymmetric unit:
Zr1 0.000 0.000 0.000 (multiplicity 1)
Ge1 0.500 0.500 0.500 (multiplicity 1)
Te1 0.000 0.000 0.500 (multiplicity 3)

***

ZrGe2Te4: optimized geometry, PBE.

Output
ΔE_f (raw): -20.5 meV per atom
Total energy: -4.356 eV/atom
Density of states at the Fermi level: 10.381 states/eV per cell

Unit cell a=8.029 b=8.029 c=7.332 alpha=90.00 beta=90.00 gamma=90.00
Space group I4/m (No. 87)
Asymmetric unit:
Zr1 0.000 0.000 0.000 (multiplicity 2)
Ge1 0.000 0.500 0.250 (multiplicity 4)
Te1 0.189 0.693 0.000 (multiplicity 8)